(1)
CuAg2Pt: relaxed, PBE-GGA.

Output
As for the calculated total energy: -0.14312 hartree per atom. Its crystal system is cubic.

abc: 6.3411 6.3411 6.3411
angles: 90.00 90.00 90.00
Last column: nearest neighbours and their distance in Å.
Space group F-43m (No. 216)
Unique sites:
Cu: 0.0000 0.0000 0.0000 x4  4 Pt 2.75, 4 Ag 2.75
Ag: 0.0000 0.0000 0.5000 x4  4 Pt 2.75, 4 Ag 2.75
Ag: 0.2500 0.2500 0.7500 x4  4 Ag 2.75, 4 Cu 2.75
Pt: 0.2500 0.2500 0.2500 x4  4 Cu 2.75, 4 Ag 2.75

(2)
Ni2AsOs: relaxed, PBE-GGA.

Output
As for the calculated total energy: -0.24661 hartree per atom. Its crystal system is trigonal.

abc: 2.7474 2.7474 23.9313
angles: 90.00 90.00 120.00
Last column: nearest neighbours and their distance in Å.
Space group R-3m (No. 166, hexagonal axes)
Unique sites:
Ni: 0.0000 0.0000 0.2465 x6  3 As 2.48, 3 Os 2.61, 6 Ni 2.75
As: 0.0000 0.0000 0.5000 x3  6 Ni 2.48, 6 As 2.75
Os: 0.0000 0.0000 0.0000 x3  6 Ni 2.61, 6 Os 2.75

(3)
LiAl2Pd: relaxed, PBE-GGA.

Output
As for the calculated total energy: -0.15352 hartree per atom. Its crystal system is tetragonal.

abc: 3.1761 3.1761 5.7856
angles: 90.00 90.00 90.00
Last column: nearest neighbours and their distance in Å.
Space group P4/mmm (No. 123)
Unique sites:
Li: 0.0000 0.0000 0.0000 x1  8 Al 2.68, 2 Pd 2.89
Al: 0.5000 0.5000 0.2523 x2  4 Pd 2.66, 4 Li 2.68, 2 Al 2.87-2.92
Pd: 0.0000 0.0000 0.5000 x1  8 Al 2.66, 2 Li 2.89

(4)
AcTmCd: relaxed, PBE-GGA.

Output
As for the calculated total energy: -0.11886 hartree per atom. Its crystal system is hexagonal.

abc: 5.3697 5.3697 3.9637
angles: 90.00 90.00 120.00
Last column: nearest neighbours and their distance in Å.
Space group P-6m2 (No. 187)
Unique sites:
Ac: 0.0000 0.0000 0.0000 x1  6 Cd 3.68, 6 Tm 3.68, 2 Ac 3.96
Tm: 0.6667 0.3333 0.5000 x1  3 Cd 3.10
Cd: 0.3333 0.6667 0.5000 x1  3 Tm 3.10

Number 1: E_form 6 kJ/mol of atoms, total magnetic moment 0.000 μB/cell. Number 2: E_form 14 kJ/mol of atoms, total magnetic moment 0.000 μB/cell. Number 3: E_form -51 kJ/mol of atoms, total magnetic moment 0.000 μB/cell. Number 4: E_form -7 kJ/mol of atoms, total magnetic moment 0.000 μB/cell.